Compound: NaHoVF6
Source: Alexandria via LeMat-Bulk
Functional: GGA+U
Structure: optimized geometry

abc: 5.1133 5.1133 10.2605
angles: 90.00 90.00 90.00
Last column: nearest neighbours and their distance in Å.
Sites, in units of the cell vectors:
Na: 0.0000 0.0000 0.0000  6 F 2.28-2.36
Na: 0.5000 0.5000 0.5000  6 F 2.28-2.36
Ho: 0.0000 0.0000 0.3332  6 F 2.18-2.20
Ho: 0.5000 0.5000 0.8332  6 F 2.18-2.20
V: 0.0000 0.0000 0.6680  6 F 2.13-2.15
V: 0.5000 0.5000 0.1680  6 F 2.13-2.15
F: 0.1843 0.1843 0.5033  1 V 2.15, 1 Ho 2.20, 1 Na 2.28
F: 0.1985 0.1985 0.8220  1 V 2.13, 1 Ho 2.18, 1 Na 2.32
F: 0.2061 0.2061 0.1782  1 V 2.13, 1 Ho 2.18, 1 Na 2.36
F: 0.2939 0.7061 0.6782  1 V 2.13, 1 Ho 2.18, 1 Na 2.36
F: 0.3015 0.6985 0.3220  1 V 2.13, 1 Ho 2.18, 1 Na 2.32
F: 0.3157 0.6843 0.0033  1 V 2.15, 1 Ho 2.20, 1 Na 2.28
F: 0.6843 0.3157 0.0033  1 V 2.15, 1 Ho 2.20, 1 Na 2.28
F: 0.6985 0.3015 0.3220  1 V 2.13, 1 Ho 2.18, 1 Na 2.32
F: 0.7061 0.2939 0.6782  1 V 2.13, 1 Ho 2.18, 1 Na 2.36
F: 0.7939 0.7939 0.1782  1 V 2.13, 1 Ho 2.18, 1 Na 2.36
F: 0.8015 0.8015 0.8220  1 V 2.13, 1 Ho 2.18, 1 Na 2.32
F: 0.8157 0.8157 0.5033  1 V 2.15, 1 Ho 2.20, 1 Na 2.28

electronic total energy: -54.68 eV per formula unit
space-group type: P4_2nm, No. 102